(1)
Compound: PrAsPb2
Source: the Alexandria database
Functional: PBE-GGA
Structure: relaxed

DOS(E_F) = 0.77 states/eV/atom
ΔE_f = 0.117 eV/atom
Total magnetic moment = 0.0 μB per formula unit
Total energy = -16.38 eV for the cell shown
ρ = 8.08 g cm⁻³

The structure in POSCAR format:
```
PrAsPb2
1.0
1.8956 1.0944 10.3993
-1.8956 1.0944 10.3993
0.0000 -2.1889 10.3993
Pr As Pb
1 1 2
Direct
0.0000 0.0000 0.0000
0.5000 0.5000 0.5000
0.1043 0.1043 0.1043
0.8957 0.8957 0.8957
```


(2)
Compound: Dy2Ho3Sc8
Source: the Alexandria database
Functional: PBE-GGA
Structure: relaxed

DOS(E_F) = 1.46 states/eV/atom
ΔE_f = 0.250 eV/atom
Total magnetic moment = 0.0 μB per formula unit
Total energy = -70.34 eV for the cell shown
ρ = 5.30 g cm⁻³

The structure in POSCAR format:
```
Dy2Ho3Sc8
1.0
6.8469 -4.3307 0.0000
6.8469 4.3307 0.0000
-2.1195 0.0000 6.2329
Dy Ho Sc
2 3 8
Direct
0.2320 0.2320 0.4241
0.7680 0.7680 0.5759
0.0000 0.0000 0.0000
0.1812 0.8188 0.5000
0.8188 0.1812 0.5000
0.1945 0.1945 0.8955
0.1973 0.5634 0.8410
0.4303 0.4303 0.2569
0.4366 0.8027 0.1590
0.5634 0.1973 0.8410
0.5697 0.5697 0.7431
0.8027 0.4366 0.1590
0.8055 0.8055 0.1045
```


(3)
Compound: PrAs3Ru3
Source: the Alexandria database
Functional: PBE-GGA
Structure: relaxed

DOS(E_F) = 0.82 states/eV/atom
ΔE_f = -0.429 eV/atom
Total magnetic moment = 0.0 μB per formula unit
Total energy = -99.11 eV for the cell shown
ρ = 7.74 g cm⁻³

The structure in POSCAR format:
```
PrAs3Ru3
1.0
3.4556 1.9951 6.9413
-3.4556 1.9951 6.9413
0.0000 -3.9902 6.9413
Pr As Ru
2 6 6
Direct
0.1676 0.1676 0.1676
0.8324 0.8324 0.8324
0.1164 0.7156 0.3956
0.2844 0.6044 0.8836
0.3956 0.1164 0.7156
0.6044 0.8836 0.2844
0.7156 0.3956 0.1164
0.8836 0.2844 0.6044
0.0080 0.3936 0.7278
0.2722 0.9920 0.6064
0.3936 0.7278 0.0080
0.6064 0.2722 0.9920
0.7278 0.0080 0.3936
0.9920 0.6064 0.2722
```


(4)
Compound: La2AsPt
Source: the Alexandria database
Functional: PBE-GGA
Structure: relaxed

DOS(E_F) = 0.78 states/eV/atom
ΔE_f = -1.318 eV/atom
Total magnetic moment = 0.0 μB per formula unit
Total energy = -51.64 eV for the cell shown
ρ = 8.22 g cm⁻³

The structure in POSCAR format:
```
La2AsPt
1.0
2.0853 -12.0019 0.0000
2.0853 12.0019 0.0000
0.0000 0.0000 4.4217
La As Pt
4 2 2
Direct
0.0631 0.9369 0.7500
0.3157 0.6842 0.7500
0.6842 0.3157 0.2500
0.9369 0.0631 0.2500
0.1882 0.8118 0.7500
0.8118 0.1882 0.2500
0.4570 0.5430 0.7500
0.5430 0.4570 0.2500
```